1.
The following is a PBE-GGA calculation of a relaxed PrMg9Hg2 crystal, from Alexandria via LeMat-Bulk.

Properties
VASP energy ... -0.130 Ry/atom
E_form ... -0.123 eV per atom
D(E_F) ... 4.32 states/eV/f.u.

Cell: 9.8900 9.8900 3.3582 Å, 90.00 90.00 120.00°
Space group P6/mmm (No. 191)
Asymmetric unit:
Pr 0.0000 0.0000 0.0000 (multiplicity 1)
Mg 0.0000 0.5000 0.0000 (multiplicity 3)
Mg 0.1834 0.3667 0.5000 (multiplicity 6)
Hg 0.3333 0.6667 0.0000 (multiplicity 2)

=====

2.
The following is a PBE-GGA calculation of a relaxed PrMgHg2 crystal, from Alexandria via LeMat-Bulk.

Properties
VASP energy ... -0.156 Ry/atom
E_form ... -0.378 eV per atom
D(E_F) ... 2.92 states/eV/f.u.

Cell: 3.618 3.618 7.587 Å, 90.00 90.00 90.00°
Space group P4/mmm (No. 123)
Asymmetric unit:
Pr 0.000 0.000 0.000 (multiplicity 1)
Mg 0.000 0.000 0.500 (multiplicity 1)
Hg 0.500 0.500 0.280 (multiplicity 2)

=====

3.
The following is a PBE-GGA calculation of a relaxed PrMg4Hg4 crystal, from Alexandria via LeMat-Bulk.

Properties
VASP energy ... -0.118 Ry/atom
E_form ... -0.227 eV per atom
D(E_F) ... 4.48 states/eV/f.u.

Cell: 6.770 6.770 9.583 Å, 90.00 90.00 90.00°
Space group P4_2/nmc (No. 137, origin choice 2)
Asymmetric unit:
Pr 0.250 0.750 0.250 (multiplicity 2)
Mg 0.025 0.250 0.162 (multiplicity 8)
Hg 0.021 0.250 0.462 (multiplicity 8)

=====

4.
The following is a PBE-GGA calculation of a relaxed PrMgHg4 crystal, from Alexandria via LeMat-Bulk.

Properties
VASP energy ... -0.101 Ry/atom
E_form ... -0.106 eV per atom
D(E_F) ... 5.35 states/eV/f.u.

Cell: 8.494 8.494 8.494 Å, 90.00 90.00 90.00°
Space group F-43m (No. 216)
Asymmetric unit:
Pr 0.000 0.000 0.000 (multiplicity 4)
Mg 0.250 0.250 0.750 (multiplicity 4)
Hg 0.125 0.125 0.375 (multiplicity 16)

=====

5.
The following is a PBE-GGA calculation of a relaxed PrMgHg crystal, from Alexandria via LeMat-Bulk.

Properties
VASP energy ... -0.191 Ry/atom
E_form ... -0.375 eV per atom
D(E_F) ... 2.50 states/eV/f.u.

Cell: 5.203 9.532 6.549 Å, 90.00 90.00 90.00°
Space group Cmcm (No. 63)
Asymmetric unit:
Pr 0.000 0.174 0.250 (multiplicity 4)
Mg 0.000 0.500 0.000 (multiplicity 4)
Hg 0.000 0.151 0.750 (multiplicity 4)

=====

6.
The following is a PBE-GGA calculation of a relaxed PrMg4Hg5 crystal, from Alexandria via LeMat-Bulk.

Properties
VASP energy ... -0.114 Ry/atom
E_form ... -0.289 eV per atom
D(E_F) ... 4.49 states/eV/f.u.

Cell: 3.620 3.620 17.412 Å, 90.00 90.00 90.00°
Space group P4/mmm (No. 123)
Asymmetric unit:
Pr 0.000 0.000 0.000 (multiplicity 1)
Mg 0.000 0.000 0.215 (multiplicity 2)
Mg 0.000 0.000 0.405 (multiplicity 2)
Hg 0.500 0.500 0.121 (multiplicity 2)
Hg 0.500 0.500 0.310 (multiplicity 2)
Hg 0.500 0.500 0.500 (multiplicity 1)

=====

7.
The following is a PBE-GGA calculation of a relaxed PrMgHg6 crystal, from Alexandria via LeMat-Bulk.

Properties
VASP energy ... -0.092 Ry/atom
E_form ... -0.223 eV per atom
D(E_F) ... 2.75 states/eV/f.u.

Cell: 4.987 7.173 11.111 Å, 90.00 90.00 90.00°
Space group Amm2 (No. 38)
Asymmetric unit:
Pr 0.000 0.000 0.000 (multiplicity 2)
Mg 0.500 0.000 0.269 (multiplicity 2)
Hg 0.000 0.000 0.465 (multiplicity 2)
Hg 0.000 0.240 0.738 (multiplicity 4)
Hg 0.500 0.000 0.806 (multiplicity 2)
Hg 0.500 0.223 0.544 (multiplicity 4)

=====

8.
The following is a PBE-GGA calculation of a relaxed PrMgHg2 crystal, from Alexandria via LeMat-Bulk.

Properties
VASP energy ... -0.155 Ry/atom
E_form ... -0.361 eV per atom
D(E_F) ... 2.16 states/eV/f.u.

Cell: 5.160 5.160 3.889 Å, 90.00 90.00 90.00°
Space group P4/mmm (No. 123)
Asymmetric unit:
Pr 0.000 0.000 0.000 (multiplicity 1)
Mg 0.500 0.500 0.000 (multiplicity 1)
Hg 0.000 0.500 0.500 (multiplicity 2)

=====

9.
The following is a PBE-GGA calculation of a relaxed PrMgHg4 crystal, from Alexandria via LeMat-Bulk.

Properties
VASP energy ... -0.114 Ry/atom
E_form ... -0.290 eV per atom
D(E_F) ... 2.44 states/eV/f.u.

Cell: 9.873 4.267 7.471 Å, 90.00 108.01 90.00°
Space group C2/m (No. 12)
Asymmetric unit:
Pr 0.000 0.000 0.000 (multiplicity 2)
Mg 0.000 0.000 0.500 (multiplicity 2)
Hg 0.159 0.500 0.804 (multiplicity 4)
Hg 0.170 0.500 0.347 (multiplicity 4)

=====

10.
The following is a PBE-GGA calculation of a relaxed PrMgHg2 crystal, from Alexandria via LeMat-Bulk.

Properties
VASP energy ... -0.146 Ry/atom
E_form ... -0.238 eV per atom
D(E_F) ... 3.08 states/eV/f.u.

Cell: 4.0761 4.0761 23.5501 Å, 90.00 90.00 120.00°
Space group R3m (No. 160, hexagonal axes)
Asymmetric unit:
Pr 0.0000 0.0000 0.0000 (multiplicity 3)
Mg 0.0000 0.0000 0.8315 (multiplicity 3)
Hg 0.0000 0.0000 0.4263 (multiplicity 3)
Hg 0.0000 0.0000 0.5728 (multiplicity 3)